## BeInOs2 (PBE-GGA)

Data for an optimized crystal structure of BeInOs2.

Properties
Energy of formation: 588 meV per atom
Space group: Fm-3m (225)
Relative energy among the computed polymorphs: 312 meV/atom

a b c (Å): 4.346 4.346 4.346
angles (deg): 60.00 60.00 60.00
Fractional coordinates of all 4 atoms:
Be1 0.000 0.000 0.000
Os1 0.250 0.250 0.250
Os2 0.750 0.750 0.750
In1 0.500 0.500 0.500

## BeInOs2Pd (PBE-GGA)

Data for an optimized crystal structure of BeInOs2Pd.

Properties
Energy of formation: 2520 meV per atom
Space group: P4/mmm (123)

a b c (Å): 4.894 4.814 4.894
angles (deg): 90.00 90.00 90.00
Last column: magnetic moment on the atom in μB.
Fractional coordinates of all 5 atoms:
Be1 0.500 0.500 0.500  -0.07
Os1 0.000 0.000 0.500  1.58
Os2 0.500 0.000 0.000  1.32
Pd1 0.000 0.500 0.000  0.14
In1 0.000 0.000 0.000  -0.04

## BeTlInOs2 (PBE-GGA)

Data for an optimized crystal structure of BeTlInOs2.

Properties
Energy of formation: 2051 meV per atom
Space group: P4/mmm (123)
Relative energy among the computed polymorphs: 0 meV/atom

a b c (Å): 4.959 4.292 4.959
angles (deg): 90.00 90.00 90.00
Fractional coordinates of all 5 atoms:
Be1 0.000 0.500 0.000
Tl1 0.500 0.500 0.500
Os1 0.000 0.000 0.500
Os2 0.500 0.000 0.000
In1 0.000 0.000 0.000

## BeTlInOs2 (PBE-GGA)

Data for an optimized crystal structure of BeTlInOs2.

Properties
Energy of formation: 2622 meV per atom
Space group: P4/mmm (123)
Relative energy among the computed polymorphs: 571 meV/atom

a b c (Å): 4.969 5.446 4.969
angles (deg): 90.00 90.00 90.00
Last column: magnetic moment on the atom in μB.
Fractional coordinates of all 5 atoms:
Be1 0.500 0.500 0.500  -0.05
Tl1 0.000 0.500 0.000  -0.01
Os1 0.000 0.000 0.500  1.31
Os2 0.500 0.000 0.000  1.17
In1 0.000 0.000 0.000  -0.03

## BeVIn2Os (PBE-GGA)

Data for an optimized crystal structure of BeVIn2Os.

Properties
Energy of formation: 1744 meV per atom
Space group: P4/mmm (123)

a b c (Å): 4.984 4.099 4.984
angles (deg): 90.00 90.00 90.00
Last column: magnetic moment on the atom in μB.
Fractional coordinates of all 5 atoms:
Be1 0.000 0.500 0.000  -0.02
V1 0.000 0.000 0.000  -0.13
Os1 0.500 0.500 0.500  1.28
In1 0.000 0.000 0.500  -0.02
In2 0.500 0.000 0.000  0.00

## ZrBeIn2Os (PBE-GGA)

Data for an optimized crystal structure of ZrBeIn2Os.

Properties
Energy of formation: 587 meV per atom
Space group: P4/mmm (123)

a b c (Å): 5.072 4.246 5.072
angles (deg): 90.00 90.00 90.00
Last column: magnetic moment on the atom in μB.
Fractional coordinates of all 5 atoms:
Be1 0.000 0.500 0.000  0.00
Os1 0.000 0.000 0.000  0.01
Zr1 0.500 0.500 0.500  0.17
In1 0.000 0.000 0.500  0.00
In2 0.500 0.000 0.000  0.00

Question: Look up the energy of formation of the third one.
Answer: 2051 meV per atom